1.
First-principles (PBE) data for a relaxed structure of MgCo2Se2, as listed in Alexandria.

Cell: 6.832 6.832 3.304 Å, 90.00 90.00 90.00°
Site moments in Bohr magnetons follow the coordinates.
Positions (direct):
Mg (0.000, 0.000, 0.000)  -0.02
Mg (0.500, 0.500, 0.000)  -0.02
Co (0.374, 0.874, 0.000)  1.04
Co (0.874, 0.626, 0.000)  1.03
Co (0.626, 0.126, 0.000)  1.05
Co (0.126, 0.374, 0.000)  1.03
Se (0.174, 0.674, 0.500)  0.05
Se (0.674, 0.826, 0.500)  0.04
Se (0.826, 0.326, 0.500)  0.05
Se (0.326, 0.174, 0.500)  0.04

Results
**Relative energy among the computed polymorphs**: 0.197 eV/atom
**ρ**: 6.46 g/cm³
**Formation energy without anion corrections**: 0.5 kJ per mole of atoms
**Space group**: P4/mbm (127)

***

2.
First-principles (PBE) data for a relaxed structure of MgCo2Se, as listed in Alexandria.

Cell: 6.822 6.822 5.527 Å, 51.89 51.89 90.00°
Positions (direct):
Mg (0.500, 0.500, 0.000)
Mg (0.250, 0.750, 0.500)
Co (0.693, 0.125, 0.250)
Co (0.057, 0.625, 0.250)
Co (0.375, 0.307, 0.750)
Co (0.875, 0.943, 0.750)
Se (0.000, 0.000, 0.000)
Se (0.750, 0.250, 0.500)

Results
**Relative energy among the computed polymorphs**: 0.232 eV/atom
**ρ**: 5.85 g/cm³
**Formation energy without anion corrections**: 25.9 kJ per mole of atoms
**Space group**: I-42d (122)